# Ti4H6Rh7, relaxed, DFT GGA-PBE
# Uncorrected energy, eV/cell: -103.9
# Magnetization, μB/atom: 0.0000
data_Ti4H6Rh7
_chemical_formula_sum 'Ti4 H6 Rh7'
_space_group_name_H-M_alt 'P 1'
_space_group_IT_number 1
_cell_length_a 6.363
_cell_length_b 6.363
_cell_length_c 6.363
_cell_angle_alpha 109.47
_cell_angle_beta 109.47
_cell_angle_gamma 109.47
loop_
_space_group_symop_operation_xyz
'x,y,z'
loop_
_atom_site_label
_atom_site_type_symbol
_atom_site_fract_x
_atom_site_fract_y
_atom_site_fract_z
_atom_site_occupancy
Rh1 Rh 0.750 0.250 0.500 1
H1 H 0.766 0.766 0.000 1
Ti1 Ti 0.500 0.000 0.000 1
Ti2 Ti 0.000 0.000 0.500 1
Rh2 Rh 0.250 0.750 0.500 1
H2 H 0.234 0.000 0.234 1
Rh3 Rh 0.250 0.500 0.750 1
Rh4 Rh 0.500 0.250 0.750 1
H3 H 0.000 0.234 0.234 1
H4 H 0.234 0.234 0.000 1
Ti3 Ti 0.000 0.500 0.000 1
H5 H 0.000 0.766 0.766 1
H6 H 0.766 0.000 0.766 1
Rh5 Rh 0.500 0.750 0.250 1
Rh6 Rh 0.000 0.000 0.000 1
Ti4 Ti 0.500 0.500 0.500 1
Rh7 Rh 0.750 0.500 0.250 1

***

# TiHRh3, relaxed, DFT GGA-PBE
# Energy above the lowest structure with this stoichiometry, meV/atom: 236
# Magnetization, μB/atom: 0.0000
data_TiHRh3
_chemical_formula_sum 'Ti2 H2 Rh6'
_space_group_name_H-M_alt 'P 1'
_space_group_IT_number 1
_cell_length_a 4.967
_cell_length_b 4.967
_cell_length_c 4.967
_cell_angle_alpha 93.44
_cell_angle_beta 93.44
_cell_angle_gamma 93.44
loop_
_space_group_symop_operation_xyz
'x,y,z'
loop_
_atom_site_label
_atom_site_type_symbol
_atom_site_fract_x
_atom_site_fract_y
_atom_site_fract_z
_atom_site_occupancy
Rh1 Rh 0.250 0.965 0.535 1
Ti1 Ti 0.000 0.000 0.000 1
Rh2 Rh 0.965 0.535 0.250 1
Rh3 Rh 0.465 0.750 0.035 1
Rh4 Rh 0.750 0.035 0.465 1
Rh5 Rh 0.535 0.250 0.965 1
Ti2 Ti 0.500 0.500 0.500 1
H1 H 0.250 0.250 0.250 1
Rh6 Rh 0.035 0.465 0.750 1
H2 H 0.750 0.750 0.750 1